This record from the Alexandria database describes crystalline Li4Ag3Au4 at its relaxed geometry. The functional is PBE.

Cell lengths 8.005, 8.005, 8.005 Å; angles 150.91, 129.27, 59.54 degrees
Sites, in units of the cell vectors:
Li 0.037 0.828 0.208
Li 0.380 0.172 0.208
Li 0.620 0.828 0.792
Li 0.963 0.172 0.792
Ag 0.000 0.500 0.500
Ag 0.376 0.376 0.000
Ag 0.624 0.624 0.000
Au 0.215 0.715 0.500
Au 0.299 0.000 0.299
Au 0.701 0.000 0.701
Au 0.785 0.285 0.500

SG: No. 71
E above lowest polymorph: 55.3 kJ/mol of formula units
formation energy: -0.19 eV/atom
uncorrected energy: -31.439 eV per formula unit


This record from the Alexandria database describes crystalline Li3Ag2Au2 at its relaxed geometry. The functional is PBE.

Cell lengths 4.577, 2.802, 9.581 Å; angles 90.00, 102.97, 90.00 degrees
Sites, in units of the cell vectors:
Li 0.000 0.000 0.000
Li 0.291 0.000 0.587
Li 0.709 0.000 0.413
Ag 0.150 0.000 0.288
Ag 0.850 0.000 0.712
Au 0.413 0.500 0.846
Au 0.587 0.500 0.154

SG: No. 10
E above lowest polymorph: 57.2 kJ/mol of formula units
formation energy: -0.24 eV/atom
uncorrected energy: -19.683 eV per formula unit


This record from the Alexandria database describes crystalline Li3Ag4Au2 at its relaxed geometry. The functional is PBE.

Cell lengths 5.034, 5.034, 8.500 Å; angles 108.23, 108.23, 48.26 degrees
Sites, in units of the cell vectors:
Li 0.000 0.000 0.000
Li 0.332 0.332 0.441
Li 0.668 0.668 0.559
Ag 0.005 0.005 0.337
Ag 0.334 0.334 0.112
Ag 0.666 0.666 0.888
Ag 0.995 0.995 0.663
Au 0.328 0.328 0.766
Au 0.672 0.672 0.234

SG: No. 12
formation energy: -0.27 eV/atom
uncorrected energy: -26.157 eV per formula unit


This record from the Alexandria database describes crystalline LiAg12Au6 at its relaxed geometry. The functional is PBE.

Cell lengths 7.025, 7.025, 7.025 Å; angles 89.74, 89.74, 89.74 degrees
Sites, in units of the cell vectors:
Li 0.000 0.000 0.000
Ag 0.044 0.373 0.154
Ag 0.154 0.044 0.373
Ag 0.199 0.560 0.476
Ag 0.373 0.154 0.044
Ag 0.440 0.524 0.801
Ag 0.476 0.199 0.560
Ag 0.524 0.801 0.440
Ag 0.560 0.476 0.199
Ag 0.627 0.846 0.956
Ag 0.801 0.440 0.524
Ag 0.846 0.956 0.627
Ag 0.956 0.627 0.846
Au 0.115 0.264 0.740
Au 0.260 0.885 0.736
Au 0.264 0.740 0.115
Au 0.736 0.260 0.885
Au 0.740 0.115 0.264
Au 0.885 0.736 0.260

SG: No. 148
formation energy: -0.03 eV/atom
uncorrected energy: -56.315 eV per formula unit


This record from the Alexandria database describes crystalline Li2AgAu5 at its relaxed geometry. The functional is PBE.

Cell lengths 5.717, 5.717, 5.781 Å; angles 120.13, 120.13, 88.63 degrees
Sites, in units of the cell vectors:
Li 0.000 0.500 0.000
Li 0.500 0.000 0.000
Ag 0.000 0.000 0.000
Au 0.000 0.000 0.500
Au 0.000 0.500 0.500
Au 0.500 0.000 0.500
Au 0.500 0.500 0.000
Au 0.500 0.500 0.500

SG: No. 12
E above lowest polymorph: 6.1 kJ/mol of formula units
formation energy: -0.32 eV/atom
uncorrected energy: -25.605 eV per formula unit


This record from the Alexandria database describes crystalline Li3Ag2Au3 at its relaxed geometry. The functional is PBE.

Cell lengths 8.783, 8.783, 4.166 Å; angles 103.39, 103.39, 24.71 degrees
Sites, in units of the cell vectors:
Li 0.000 0.000 0.000
Li 0.124 0.124 0.626
Li 0.876 0.876 0.374
Ag 0.254 0.254 0.253
Ag 0.746 0.746 0.747
Au 0.380 0.380 0.877
Au 0.500 0.500 0.500
Au 0.620 0.620 0.123

SG: No. 12
E above lowest polymorph: 0.0 kJ/mol of formula units
formation energy: -0.38 eV/atom
uncorrected energy: -24.292 eV per formula unit


This record from the Alexandria database describes crystalline Li4Ag3Au at its relaxed geometry. The functional is PBE.

Cell lengths 8.402, 8.402, 4.073 Å; angles 103.94, 103.94, 28.90 degrees
Sites, in units of the cell vectors:
Li 0.116 0.116 0.115
Li 0.249 0.249 0.750
Li 0.751 0.751 0.250
Li 0.884 0.884 0.885
Ag 0.368 0.368 0.368
Ag 0.500 0.500 0.000
Ag 0.632 0.632 0.632
Au 0.000 0.000 0.500

SG: No. 12
E above lowest polymorph: 71.9 kJ/mol of formula units
formation energy: -0.21 eV/atom
uncorrected energy: -21.177 eV per formula unit


This record from the Alexandria database describes crystalline LiAg12Au7 at its relaxed geometry. The functional is PBE.

Cell lengths 7.325, 7.325, 7.325 Å; angles 102.23, 102.23, 102.23 degrees
Sites, in units of the cell vectors:
Li 0.000 0.000 0.000
Ag 0.081 0.334 0.338
Ag 0.239 0.760 0.498
Ag 0.240 0.502 0.761
Ag 0.334 0.338 0.081
Ag 0.338 0.081 0.334
Ag 0.498 0.239 0.760
Ag 0.502 0.761 0.240
Ag 0.662 0.919 0.666
Ag 0.666 0.662 0.919
Ag 0.760 0.498 0.239
Ag 0.761 0.240 0.502
Ag 0.919 0.666 0.662
Au 0.091 0.095 0.687
Au 0.095 0.687 0.091
Au 0.313 0.909 0.905
Au 0.500 0.500 0.500
Au 0.687 0.091 0.095
Au 0.905 0.313 0.909
Au 0.909 0.905 0.313

SG: No. 148
formation energy: -0.04 eV/atom
uncorrected energy: -59.927 eV per formula unit


This record from the Alexandria database describes crystalline LiAgAu5 at its relaxed geometry. The functional is PBE.

Cell lengths 5.072, 5.072, 5.651 Å; angles 90.00, 90.00, 112.67 degrees
Sites, in units of the cell vectors:
Li 0.000 0.000 0.000
Ag 0.500 0.500 0.500
Au 0.000 0.500 0.252
Au 0.000 0.500 0.748
Au 0.500 0.000 0.252
Au 0.500 0.000 0.748
Au 0.500 0.500 0.000

SG: No. 65
formation energy: -0.15 eV/atom
uncorrected energy: -22.208 eV per formula unit


This record from the Alexandria database describes crystalline Li2Ag3Au at its relaxed geometry. The functional is PBE.

Cell lengths 8.221, 8.221, 8.221 Å; angles 160.43, 143.04, 42.16 degrees
Sites, in units of the cell vectors:
Li 0.149 0.149 0.000
Li 0.851 0.851 0.000
Ag 0.000 0.500 0.500
Ag 0.314 0.314 0.000
Ag 0.686 0.686 0.000
Au 0.500 0.500 0.000

SG: No. 71
formation energy: 0.02 eV/atom
uncorrected energy: -15.561 eV per formula unit


This record from the Alexandria database describes crystalline LiAg7Au4 at its relaxed geometry. The functional is PBE.

Cell lengths 5.764, 5.764, 10.274 Å; angles 116.66, 116.66, 50.96 degrees
Sites, in units of the cell vectors:
Li 0.000 0.000 0.000
Ag 0.037 0.037 0.381
Ag 0.202 0.202 0.919
Ag 0.344 0.344 0.454
Ag 0.500 0.500 0.000
Ag 0.656 0.656 0.546
Ag 0.798 0.798 0.081
Ag 0.963 0.963 0.619
Au 0.277 0.277 0.691
Au 0.418 0.418 0.225
Au 0.582 0.582 0.775
Au 0.723 0.723 0.309

SG: No. 12
E above lowest polymorph: 114.3 kJ/mol of formula units
formation energy: 0.04 eV/atom
uncorrected energy: -34.464 eV per formula unit


This record from the Alexandria database describes crystalline Li3Ag7Au at its relaxed geometry. The functional is PBE.

Cell lengths 6.483, 6.483, 5.321 Å; angles 105.58, 105.58, 96.18 degrees
Sites, in units of the cell vectors:
Li 0.000 0.000 0.000
Li 0.233 0.767 0.500
Li 0.767 0.233 0.500
Ag 0.067 0.586 0.810
Ag 0.179 0.179 0.549
Ag 0.414 0.933 0.190
Ag 0.500 0.500 0.500
Ag 0.586 0.067 0.810
Ag 0.821 0.821 0.451
Ag 0.933 0.414 0.190
Au 0.500 0.500 0.000

SG: No. 12
formation energy: 0.01 eV/atom
uncorrected energy: -28.895 eV per formula unit


This record from the Alexandria database describes crystalline LiAg2Au at its relaxed geometry. The functional is PBE.

Cell lengths 2.879, 4.135, 5.768 Å; angles 90.00, 90.00, 90.00 degrees
Sites, in units of the cell vectors:
Li 0.000 0.000 0.000
Ag 0.500 0.500 0.242
Ag 0.500 0.500 0.758
Au 0.000 0.000 0.500

SG: No. 47
formation energy: -0.19 eV/atom
uncorrected energy: -11.645 eV per formula unit


This record from the Alexandria database describes crystalline Li2Ag7Au2 at its relaxed geometry. The functional is PBE.

Cell lengths 6.269, 6.269, 5.425 Å; angles 101.42, 101.42, 100.13 degrees
Sites, in units of the cell vectors:
Li 0.165 0.835 0.000
Li 0.835 0.165 0.000
Ag 0.078 0.570 0.295
Ag 0.305 0.305 0.968
Ag 0.430 0.922 0.705
Ag 0.500 0.500 0.500
Ag 0.570 0.078 0.295
Ag 0.695 0.695 0.032
Ag 0.922 0.430 0.705
Au 0.141 0.141 0.408
Au 0.859 0.859 0.592

SG: No. 12
E above lowest polymorph: 52.3 kJ/mol of formula units
formation energy: -0.04 eV/atom
uncorrected energy: -30.824 eV per formula unit


This record from the Alexandria database describes crystalline Li4Ag3Au4 at its relaxed geometry. The functional is PBE.

Cell lengths 9.293, 9.293, 9.293 Å; angles 162.20, 131.04, 52.51 degrees
Sites, in units of the cell vectors:
Li 0.197 0.000 0.197
Li 0.245 0.245 0.000
Li 0.755 0.755 0.000
Li 0.803 0.000 0.803
Ag 0.104 0.604 0.500
Ag 0.500 0.500 0.000
Ag 0.896 0.396 0.500
Au 0.168 0.855 0.313
Au 0.458 0.145 0.313
Au 0.542 0.855 0.687
Au 0.832 0.145 0.687

SG: No. 71
E above lowest polymorph: 0.0 kJ/mol of formula units
formation energy: -0.24 eV/atom
uncorrected energy: -32.013 eV per formula unit


This record from the Alexandria database describes crystalline Li5Ag2Au5 at its relaxed geometry. The functional is PBE.

Cell lengths 6.576, 6.576, 8.925 Å; angles 116.46, 116.46, 34.99 degrees
Sites, in units of the cell vectors:
Li 0.000 0.000 0.000
Li 0.080 0.080 0.752
Li 0.247 0.247 0.243
Li 0.753 0.753 0.757
Li 0.920 0.920 0.248
Ag 0.169 0.169 0.510
Ag 0.831 0.831 0.490
Au 0.332 0.332 0.996
Au 0.420 0.420 0.755
Au 0.500 0.500 0.500
Au 0.580 0.580 0.245
Au 0.668 0.668 0.004

SG: No. 12
E above lowest polymorph: 0.0 kJ/mol of formula units
formation energy: -0.41 eV/atom
uncorrected energy: -36.617 eV per formula unit


This record from the Alexandria database describes crystalline LiAg4Au8 at its relaxed geometry. The functional is PBE.

Cell lengths 4.010, 4.085, 15.056 Å; angles 90.00, 90.00, 90.00 degrees
Sites, in units of the cell vectors:
Li 0.000 0.000 0.000
Ag 0.000 0.000 0.734
Ag 0.000 0.500 0.302
Ag 0.500 0.000 0.590
Ag 0.500 0.500 0.145
Au 0.000 0.000 0.167
Au 0.000 0.000 0.446
Au 0.000 0.500 0.591
Au 0.000 0.500 0.878
Au 0.500 0.000 0.302
Au 0.500 0.000 0.879
Au 0.500 0.500 0.447
Au 0.500 0.500 0.732

SG: No. 25
formation energy: -0.03 eV/atom
uncorrected energy: -39.889 eV per formula unit


This record from the Alexandria database describes crystalline LiAg2Au at its relaxed geometry. The functional is PBE.

Cell lengths 10.226, 10.226, 10.226 Å; angles 157.99, 157.99, 31.32 degrees
Sites, in units of the cell vectors:
Li 0.000 0.000 0.000
Li 0.750 0.250 0.500
Ag 0.126 0.625 0.001
Ag 0.375 0.376 0.501
Ag 0.624 0.125 0.999
Ag 0.875 0.874 0.499
Au 0.250 0.750 0.500
Au 0.500 0.500 0.000

SG: No. 122
formation energy: -0.06 eV/atom
uncorrected energy: -11.150 eV per formula unit


This record from the Alexandria database describes crystalline Li3Ag5Au at its relaxed geometry. The functional is PBE.

Cell lengths 7.778, 7.778, 7.778 Å; angles 123.21, 123.21, 84.52 degrees
Sites, in units of the cell vectors:
Li 0.101 0.601 0.702
Li 0.250 0.250 0.000
Li 0.399 0.101 0.500
Li 0.601 0.899 0.500
Li 0.750 0.750 0.000
Li 0.899 0.399 0.298
Ag 0.000 0.000 0.000
Ag 0.091 0.154 0.500
Ag 0.154 0.654 0.063
Ag 0.346 0.409 0.500
Ag 0.409 0.909 0.063
Ag 0.500 0.500 0.000
Ag 0.591 0.091 0.937
Ag 0.654 0.591 0.500
Ag 0.846 0.346 0.937
Ag 0.909 0.846 0.500
Au 0.250 0.750 0.500
Au 0.750 0.250 0.500

SG: No. 140
formation energy: -0.04 eV/atom
uncorrected energy: -23.668 eV per formula unit


This record from the Alexandria database describes crystalline LiAg4Au at its relaxed geometry. The functional is PBE.

Cell lengths 5.464, 5.464, 5.464 Å; angles 60.00, 60.00, 60.00 degrees
Sites, in units of the cell vectors:
Li 0.000 0.000 0.000
Ag 0.125 0.625 0.625
Ag 0.625 0.125 0.625
Ag 0.625 0.625 0.125
Ag 0.625 0.625 0.625
Au 0.250 0.250 0.250

SG: No. 216
E above lowest polymorph: 77.1 kJ/mol of formula units
formation energy: 0.01 eV/atom
uncorrected energy: -16.566 eV per formula unit


This record from the Alexandria database describes crystalline LiAg2Au at its relaxed geometry. The functional is PBE.

Cell lengths 3.327, 3.327, 6.169 Å; angles 90.00, 90.00, 90.00 degrees
Sites, in units of the cell vectors:
Li 0.000 0.000 0.000
Ag 0.500 0.500 0.234
Ag 0.500 0.500 0.766
Au 0.000 0.000 0.500

SG: No. 123
formation energy: -0.14 eV/atom
uncorrected energy: -11.469 eV per formula unit


This record from the Alexandria database describes crystalline LiAg4Au4 at its relaxed geometry. The functional is PBE.

Cell lengths 6.527, 6.527, 6.527 Å; angles 95.66, 95.66, 143.39 degrees
Sites, in units of the cell vectors:
Li 0.000 0.000 0.000
Ag 0.336 0.336 0.672
Ag 0.336 0.664 0.000
Ag 0.664 0.336 0.000
Ag 0.664 0.664 0.328
Au 0.000 0.328 0.328
Au 0.000 0.672 0.672
Au 0.328 0.000 0.328
Au 0.672 0.000 0.672

SG: No. 139
formation energy: -0.13 eV/atom
uncorrected energy: -27.565 eV per formula unit